[1]
The following is a PBE calculation of ZrAl4Rh after structural relaxation, from Alexandria.

Geometry as POSCAR:
```
ZrAl4Rh
1.0
0.0000 3.6678 3.6678
3.6678 0.0000 3.6678
3.6678 3.6678 0.0000
Zr Al Rh
1 4 1
Cartesian
0.0000 0.0000 0.0000
2.7460 2.7460 2.7460
4.5897 4.5897 2.7460
4.5897 2.7460 4.5897
2.7460 4.5897 4.5897
5.5018 5.5018 5.5018
```

Output
E_tot (eV per formula unit): -32.39

---

[2]
The following is a PBE calculation of Zr2AlRh after structural relaxation, from Alexandria.

Geometry as POSCAR:
```
Zr2AlRh
1.0
1.5473 0.8934 9.2137
-1.5473 0.8934 9.2137
0.0000 -1.7867 9.2137
Zr Al Rh
2 1 1
Cartesian
0.0000 0.0000 6.7814
0.0000 0.0000 20.8598
0.0000 0.0000 0.0000
0.0000 0.0000 13.8206
```

Output
E_tot (eV per formula unit): -29.39

---

[3]
The following is a PBE calculation of ZrAl2Rh2 after structural relaxation, from Alexandria.

Geometry as POSCAR:
```
ZrAl2Rh2
1.0
7.3927 0.0000 0.0000
0.0000 7.3927 0.0000
0.0000 0.0000 2.9087
Zr Al Rh
2 4 4
Cartesian
0.0000 0.0000 0.0000
3.6964 3.6964 0.0000
1.0959 2.6005 1.4543
2.6005 6.2968 1.4543
4.7922 1.0959 1.4543
6.2968 4.7922 1.4543
1.0775 4.7739 0.0000
2.6188 1.0775 0.0000
4.7739 6.3152 0.0000
6.3152 2.6188 0.0000
```

Output
E_tot (eV per formula unit): -34.74

---

[4]
The following is a PBE calculation of Zr2AlRh after structural relaxation, from Alexandria.

Geometry as POSCAR:
```
Zr2AlRh
1.0
-3.8009 3.8009 2.7940
3.8009 -3.8009 2.7940
3.8009 3.8009 -2.7940
Zr Al Rh
4 2 2
Cartesian
5.7014 1.6250 -0.6985
1.6250 1.9005 0.6985
-1.9005 2.1759 2.0955
2.1759 1.9005 3.4925
3.8009 0.0000 1.3970
0.0000 0.0000 2.7940
0.0000 0.0000 0.0000
0.0000 3.8009 1.3970
```

Output
E_tot (eV per formula unit): -28.88

---

[5]
The following is a PBE calculation of Al12Ru after structural relaxation, from Alexandria.

Geometry as POSCAR:
```
Al12Ru
1.0
9.4994 0.0000 0.0000
0.0000 9.4994 0.0000
0.0000 0.0000 9.4994
Al Ru
48 4
Cartesian
0.0000 0.0000 3.3538
0.0000 0.0000 6.1456
0.0000 3.3538 0.0000
0.0000 6.1456 0.0000
0.2861 2.9482 2.9482
0.2861 6.5512 6.5512
1.3335 1.3335 8.1659
1.3335 8.1659 1.3335
1.3614 4.7497 4.7497
1.9176 1.9176 5.3248
1.9176 4.1746 7.5818
1.9176 5.3248 1.9176
1.9176 7.5818 4.1746
2.9482 0.2861 2.9482
2.9482 2.9482 0.2861
2.9482 6.5512 9.2133
2.9482 9.2133 6.5512
2.9763 2.9763 2.9763
2.9763 6.5231 6.5231
3.3538 0.0000 0.0000
3.8011 3.8011 5.6983
3.8011 5.6983 3.8011
4.1746 1.9176 7.5818
4.1746 7.5818 1.9176
4.7497 1.3614 4.7497
4.7497 4.7497 1.3614
4.7497 4.7497 8.1380
4.7497 8.1380 4.7497
5.3248 1.9176 1.9176
5.3248 7.5818 7.5818
5.6983 3.8011 3.8011
5.6983 5.6983 5.6983
6.1456 0.0000 0.0000
6.5231 2.9763 6.5231
6.5231 6.5231 2.9763
6.5512 0.2861 6.5512
6.5512 2.9482 9.2133
6.5512 6.5512 0.2861
6.5512 9.2133 2.9482
7.5818 1.9176 4.1746
7.5818 4.1746 1.9176
7.5818 5.3248 7.5818
7.5818 7.5818 5.3248
8.1380 4.7497 4.7497
8.1659 1.3335 1.3335
8.1659 8.1659 8.1659
9.2133 2.9482 6.5512
9.2133 6.5512 2.9482
1.2703 1.2703 1.2703
1.2703 8.2291 8.2291
8.2291 1.2703 8.2291
8.2291 8.2291 1.2703
```

Output
E_tot (eV per formula unit): -54.88

---

[6]
The following is a PBE calculation of Al2Ru after structural relaxation, from Alexandria.

Geometry as POSCAR:
```
Al2Ru
1.0
1.4668 -6.7534 0.0000
1.4668 6.7534 0.0000
0.0000 0.0000 4.5503
Al Ru
4 2
Cartesian
1.4668 5.9197 3.4127
1.4668 1.7153 3.4127
1.4668 -1.7153 1.1376
1.4668 -5.9197 1.1376
1.4668 2.8791 1.1376
1.4668 -2.8791 3.4127
```

Output
E_tot (eV per formula unit): -17.81

---

[7]
The following is a PBE calculation of Al6Ru5 after structural relaxation, from Alexandria.

Geometry as POSCAR:
```
Al6Ru5
1.0
-2.0999 3.0284 6.2846
2.0999 -3.0284 6.2846
2.0999 3.0284 -6.2846
Al Ru
6 5
Cartesian
2.0999 1.5137 -2.0921
0.0000 1.5100 0.0000
2.0999 1.5137 2.0921
0.0000 1.5147 4.1925
0.0000 4.5468 0.0000
0.0000 1.5147 8.3767
2.0999 0.0000 0.0000
0.0000 0.0000 2.0804
2.0999 0.0000 4.2473
0.0000 3.0284 2.0373
0.0000 0.0000 10.4888
```

Output
E_tot (eV per formula unit): -75.35

---

[8]
The following is a PBE calculation of Al5Ru after structural relaxation, from Alexandria.

Geometry as POSCAR:
```
Al5Ru
1.0
0.0000 3.5870 3.5870
3.5870 0.0000 3.5870
3.5870 3.5870 0.0000
Al Ru
5 1
Cartesian
0.0000 0.0000 0.0000
4.4801 2.6938 2.6938
2.6938 4.4801 2.6938
2.6938 2.6938 4.4801
4.4801 4.4801 4.4801
1.7935 1.7935 1.7935
```

Output
E_tot (eV per formula unit): -27.69

---

[9]
The following is a PBE calculation of AlRu2 after structural relaxation, from Alexandria.

Geometry as POSCAR:
```
AlRu2
1.0
1.4559 -6.5419 0.0000
1.4559 6.5419 0.0000
0.0000 0.0000 4.3217
Al Ru
2 4
Cartesian
1.4559 5.6254 3.2413
1.4559 -5.6254 1.0804
1.4559 3.0406 1.0804
1.4559 1.2252 3.2413
1.4559 -1.2252 1.0804
1.4559 -3.0406 3.2413
```

Output
E_tot (eV per formula unit): -23.41

---

[10]
The following is a PBE calculation of Al5Ru3 after structural relaxation, from Alexandria.

Geometry as POSCAR:
```
Al5Ru3
1.0
7.3924 0.0000 0.0000
-3.6962 6.4020 0.0000
0.0000 0.0000 5.0349
Al Ru
10 6
Cartesian
-0.9367 1.6224 1.2587
-2.7595 4.7795 3.7762
1.8734 0.0000 1.2587
0.9367 1.6224 3.7762
0.0000 4.2680 0.0000
0.0000 4.2680 2.5175
3.6962 2.1340 0.0000
3.6962 2.1340 2.5175
5.5189 0.0000 3.7762
2.7595 4.7795 1.2587
-1.4198 2.4592 3.7762
-2.2764 3.9428 1.2587
2.8396 0.0000 3.7762
1.4198 2.4592 1.2587
4.5527 0.0000 1.2587
2.2764 3.9428 3.7762
```

Output
E_tot (eV per formula unit): -49.99

---

[11]
The following is a PBE calculation of Al3Ru5 after structural relaxation, from Alexandria.

Geometry as POSCAR:
```
Al3Ru5
1.0
-4.7795 4.7795 2.4366
4.7795 -4.7795 2.4366
4.7795 4.7795 -2.4366
Al Ru
6 10
Cartesian
6.4324 1.6529 0.0000
0.0000 0.0000 1.2183
1.6529 3.1266 0.0000
3.1266 1.6529 2.4366
0.0000 0.0000 3.6549
-1.6529 3.1266 2.4366
2.1687 0.6950 0.0000
4.0845 -2.6107 2.4366
4.7795 0.0000 1.2183
4.0845 2.6107 0.0000
2.1687 -0.6950 2.4366
2.6107 5.4745 0.0000
0.6950 2.1687 2.4366
0.0000 4.7795 1.2183
0.6950 7.3902 0.0000
2.6107 4.0845 2.4366
```

Output
E_tot (eV per formula unit): -60.08

---

[12]
The following is a PBE calculation of AlRu2 after structural relaxation, from Alexandria.

Geometry as POSCAR:
```
AlRu2
1.0
1.3878 -6.8180 0.0000
1.3878 6.8180 0.0000
0.0000 0.0000 4.4350
Al Ru
2 4
Cartesian
1.3878 3.8277 3.3263
1.3878 -3.8277 1.1088
1.3878 5.2561 1.1088
1.3878 0.7082 1.1088
1.3878 -0.7082 3.3263
1.3878 -5.2561 3.3263
```

Output
E_tot (eV per formula unit): -23.08

---

no.,calculated volume (Å³ per cell)
1,99
2,76
3,159
4,161
5,857
6,90
7,160
8,92
9,82
10,238
11,223
12,84